Entry from the Alexandria database: a relaxed structure of Pm5IrPt2 (PBE).

Calculated values
E (eV per atom): -6.411
Total magnetic moment (μB/atom): 0.00
SG: Pbam

Cell: 4.2226 8.2750 12.2943 Å, 90.00 90.00 90.00°
Element x y z (fractional)
Pm  0.0000  0.0000  0.5000
Ir  0.0000  0.5000  0.5000
Pm  0.5000  0.1752  0.0917
Pm  0.0000  0.5000  0.0000
Pm  0.5000  0.6752  0.4083
Ir  0.0000  0.0000  0.0000
Pm  0.0000  0.6621  0.7012
Pm  0.5000  0.8248  0.9083
Pm  0.0000  0.1621  0.7988
Pm  0.0000  0.3379  0.2988
Pt  0.5000  0.9574  0.6768
Pt  0.5000  0.5426  0.1768
Pt  0.5000  0.0426  0.3232
Pt  0.5000  0.4574  0.8232
Pm  0.5000  0.3248  0.5917
Pm  0.0000  0.8379  0.2012